The following is a PBE-GGA calculation of a geometry-optimized Sb3O7 structure, from the Alexandria database.

```
data_Sb3O7
_chemical_formula_sum 'Sb12 O28'
_symmetry_space_group_name_H-M 'I m m a'
_symmetry_Int_Tables_number 74
_symmetry_space_group_name_Hall '-I 2b 2'
_cell_length_a 7.591
_cell_length_b 11.284
_cell_length_c 6.651
_cell_angle_alpha 90.00
_cell_angle_beta 90.00
_cell_angle_gamma 90.00
loop_
_atom_site_label
_atom_site_fract_x
_atom_site_fract_y
_atom_site_fract_z
Sb1 0.250 0.037 0.250
Sb2 0.250 0.250 0.750
O1 0.000 0.081 0.217
O2 0.000 0.250 0.810
O3 0.225 0.108 0.558
```

Computed properties:
- spin magnetization (μB per cell) = 0.0
- D(E_F) (states/eV per atom) = 0.1915
- formation energy without anion corrections (eV/f.u.) = -11.740
- relative energy among the computed polymorphs (meV per atom) = 34
- total energy (eV/atom) = -5.8814

=====

The following is a PBE-GGA calculation of a geometry-optimized Sr3BiH2 structure, from the Alexandria database.

```
data_Sr3BiH2
_chemical_formula_sum 'Sr12 Bi4 H8'
_symmetry_space_group_name_H-M 'C 1 2/m 1'
_symmetry_Int_Tables_number 12
_symmetry_space_group_name_Hall '-C 2y'
_cell_length_a 24.269
_cell_length_b 4.590
_cell_length_c 6.707
_cell_angle_alpha 90.00
_cell_angle_beta 104.51
_cell_angle_gamma 90.00
loop_
_atom_site_label
_atom_site_fract_x
_atom_site_fract_y
_atom_site_fract_z
Sr1 0.048 0.000 0.272
Sr2 0.103 0.500 0.862
Sr3 0.228 0.000 0.226
Bi1 0.148 0.500 0.415
H1 0.062 0.000 0.903
H2 0.209 0.500 0.007
```

Computed properties:
- spin magnetization (μB per cell) = 4.0
- D(E_F) (states/eV per atom) = 0.1468
- relative energy among the computed polymorphs (meV per atom) = 72
- total energy (eV/atom) = -3.1525

=====

The following is a PBE-GGA calculation of a geometry-optimized La12PmPr7 structure, from the Alexandria database.

```
data_La12PmPr7
_chemical_formula_sum 'La24 Pm2 Pr14'
_symmetry_space_group_name_H-M 'I m -3 m'
_symmetry_Int_Tables_number 229
_symmetry_space_group_name_Hall '-I 4 2 3'
_cell_length_a 11.841
_cell_length_b 11.841
_cell_length_c 11.841
_cell_angle_alpha 90.00
_cell_angle_beta 90.00
_cell_angle_gamma 90.00
loop_
_atom_site_label
_atom_site_fract_x
_atom_site_fract_y
_atom_site_fract_z
La1 0.000 0.248 0.248
Pm1 0.000 0.000 0.000
Pr1 0.000 0.000 0.500
Pr2 0.250 0.250 0.250
```

Computed properties:
- spin magnetization (μB per cell) = 0.0
- D(E_F) (states/eV per atom) = 1.9515
- relative energy among the computed polymorphs (meV per atom) = 343
- total energy (eV/atom) = -4.3532

=====

The following is a PBE-GGA calculation of a geometry-optimized CaIr3O structure, from the Alexandria database.

```
data_CaIr3O
_chemical_formula_sum 'Ca1 Ir3 O1'
_symmetry_space_group_name_H-M 'P m -3 m'
_symmetry_Int_Tables_number 221
_symmetry_space_group_name_Hall '-P 4 2 3'
_cell_length_a 4.260
_cell_length_b 4.260
_cell_length_c 4.260
_cell_angle_alpha 90.00
_cell_angle_beta 90.00
_cell_angle_gamma 90.00
loop_
_atom_site_label
_atom_site_fract_x
_atom_site_fract_y
_atom_site_fract_z
Ca1 0.000 0.000 0.000
Ir1 0.000 0.500 0.500
O1 0.500 0.500 0.500
```

Computed properties:
- spin magnetization (μB per cell) = 0.0
- D(E_F) (states/eV per atom) = 1.2828
- formation energy without anion corrections (eV/f.u.) = 1.919
- relative energy among the computed polymorphs (meV per atom) = 0
- total energy (eV/atom) = -6.3248

=====

The following is a PBE-GGA calculation of a geometry-optimized CrSi2Ir structure, from the Alexandria database.

```
data_CrSi2Ir
_chemical_formula_sum 'Cr4 Si8 Ir4'
_symmetry_space_group_name_H-M 'F m -3 m'
_symmetry_Int_Tables_number 225
_symmetry_space_group_name_Hall '-F 4 2 3'
_cell_length_a 5.848
_cell_length_b 5.848
_cell_length_c 5.848
_cell_angle_alpha 90.00
_cell_angle_beta 90.00
_cell_angle_gamma 90.00
loop_
_atom_site_label
_atom_site_fract_x
_atom_site_fract_y
_atom_site_fract_z
Cr1 0.000 0.000 0.000
Si1 0.250 0.250 0.250
Ir1 0.000 0.000 0.500
```

Computed properties:
- spin magnetization (μB per cell) = 0.0
- D(E_F) (states/eV per atom) = 0.8210
- formation energy without anion corrections (eV/f.u.) = -1.329
- total energy (eV/atom) = -7.6649

=====

The following is a PBE-GGA calculation of a geometry-optimized Cd2IrSe structure, from the Alexandria database.

```
data_Cd2IrSe
_chemical_formula_sum 'Cd4 Ir2 Se2'
_symmetry_space_group_name_H-M 'I 4/m m m'
_symmetry_Int_Tables_number 139
_symmetry_space_group_name_Hall '-I 4 2'
_cell_length_a 4.150
_cell_length_b 4.150
_cell_length_c 8.676
_cell_angle_alpha 90.00
_cell_angle_beta 90.00
_cell_angle_gamma 90.00
loop_
_atom_site_label
_atom_site_fract_x
_atom_site_fract_y
_atom_site_fract_z
Cd1 0.000 0.500 0.250
Ir1 0.000 0.000 0.000
Se1 0.000 0.000 0.500
```

Computed properties:
- spin magnetization (μB per cell) = 0.0
- D(E_F) (states/eV per atom) = 0.4319
- formation energy without anion corrections (eV/f.u.) = 1.077
- total energy (eV/atom) = -3.2746

=====

The following is a PBE-GGA calculation of a geometry-optimized Cu3HgOs structure, from the Alexandria database.

```
data_Cu3HgOs
_chemical_formula_sum 'Cu3 Hg1 Os1'
_symmetry_space_group_name_H-M 'P m -3 m'
_symmetry_Int_Tables_number 221
_symmetry_space_group_name_Hall '-P 4 2 3'
_cell_length_a 4.703
_cell_length_b 4.703
_cell_length_c 4.703
_cell_angle_alpha 90.00
_cell_angle_beta 90.00
_cell_angle_gamma 90.00
loop_
_atom_site_label
_atom_site_fract_x
_atom_site_fract_y
_atom_site_fract_z
Cu1 0.000 0.000 0.500
Hg1 0.500 0.500 0.500
Os1 0.000 0.000 0.000
```

Computed properties:
- spin magnetization (μB per cell) = 1.8
- D(E_F) (states/eV per atom) = 1.0959
- relative energy among the computed polymorphs (meV per atom) = 0
- total energy (eV/atom) = -3.4660

=====

The following is a PBE-GGA calculation of a geometry-optimized PaAgOs structure, from the Alexandria database.

```
data_PaAgOs
_chemical_formula_sum 'Pa6 Ag6 Os6'
_symmetry_space_group_name_H-M 'R -3 m'
_symmetry_Int_Tables_number 166
_symmetry_space_group_name_Hall '-R 3 2"'
_cell_length_a 4.3873
_cell_length_b 4.3873
_cell_length_c 24.8898
_cell_angle_alpha 90.00
_cell_angle_beta 90.00
_cell_angle_gamma 120.00
loop_
_atom_site_label
_atom_site_fract_x
_atom_site_fract_y
_atom_site_fract_z
Pa1 0.0000 0.0000 0.0899
Ag1 0.0000 0.0000 0.3177
Os1 0.0000 0.0000 0.1968
```

Computed properties:
- spin magnetization (μB per cell) = 0.0
- D(E_F) (states/eV per atom) = 1.1039
- total energy (eV/atom) = -7.5420

=====

The following is a PBE-GGA calculation of a geometry-optimized Zr2CoBr structure, from the Alexandria database.

```
data_Zr2CoBr
_chemical_formula_sum 'Zr2 Co1 Br1'
_symmetry_space_group_name_H-M 'P 4/m m m'
_symmetry_Int_Tables_number 123
_symmetry_space_group_name_Hall '-P 4 2'
_cell_length_a 4.812
_cell_length_b 4.812
_cell_length_c 3.157
_cell_angle_alpha 90.00
_cell_angle_beta 90.00
_cell_angle_gamma 90.00
loop_
_atom_site_label
_atom_site_fract_x
_atom_site_fract_y
_atom_site_fract_z
Zr1 0.000 0.500 0.000
Co1 0.000 0.000 0.500
Br1 0.500 0.500 0.500
```

Computed properties:
- spin magnetization (μB per cell) = 1.1
- D(E_F) (states/eV per atom) = 1.2295
- formation energy without anion corrections (eV/f.u.) = 0.010
- relative energy among the computed polymorphs (meV per atom) = 465
- total energy (eV/atom) = -6.4663

=====

The following is a PBE-GGA calculation of a geometry-optimized VCrNiW structure, from the Alexandria database.

```
data_VCrNiW
_chemical_formula_sum 'V4 Cr4 Ni4 W4'
_symmetry_space_group_name_H-M 'F -4 3 m'
_symmetry_Int_Tables_number 216
_symmetry_space_group_name_Hall 'F -4 2 3'
_cell_length_a 5.956
_cell_length_b 5.956
_cell_length_c 5.956
_cell_angle_alpha 90.00
_cell_angle_beta 90.00
_cell_angle_gamma 90.00
loop_
_atom_site_label
_atom_site_fract_x
_atom_site_fract_y
_atom_site_fract_z
V1 0.000 0.000 0.000
Cr1 0.000 0.000 0.500
Ni1 0.250 0.250 0.750
W1 0.250 0.250 0.250
```

Computed properties:
- spin magnetization (μB per cell) = 4.8
- D(E_F) (states/eV per atom) = 1.0209
- total energy (eV/atom) = -9.2683

=====

The following is a PBE-GGA calculation of a geometry-optimized BaTcAu2 structure, from the Alexandria database.

```
data_BaTcAu2
_chemical_formula_sum 'Ba1 Tc1 Au2'
_symmetry_space_group_name_H-M 'P 4 m m'
_symmetry_Int_Tables_number 99
_symmetry_space_group_name_Hall 'P 4 -2'
_cell_length_a 3.654
_cell_length_b 3.654
_cell_length_c 7.333
_cell_angle_alpha 90.00
_cell_angle_beta 90.00
_cell_angle_gamma 90.00
loop_
_atom_site_label
_atom_site_fract_x
_atom_site_fract_y
_atom_site_fract_z
Ba1 0.000 0.000 0.000
Tc1 0.500 0.500 0.337
Au1 0.000 0.000 0.481
Au2 0.500 0.500 0.712
```

Computed properties:
- spin magnetization (μB per cell) = 3.0
- D(E_F) (states/eV per atom) = 1.0139
- relative energy among the computed polymorphs (meV per atom) = 345
- total energy (eV/atom) = -4.3164

=====

The following is a PBE-GGA calculation of a geometry-optimized Ta3IrCl structure, from the Alexandria database.

```
data_Ta3IrCl
_chemical_formula_sum 'Ta3 Ir1 Cl1'
_symmetry_space_group_name_H-M 'P m -3 m'
_symmetry_Int_Tables_number 221
_symmetry_space_group_name_Hall '-P 4 2 3'
_cell_length_a 4.463
_cell_length_b 4.463
_cell_length_c 4.463
_cell_angle_alpha 90.00
_cell_angle_beta 90.00
_cell_angle_gamma 90.00
loop_
_atom_site_label
_atom_site_fract_x
_atom_site_fract_y
_atom_site_fract_z
Ta1 0.000 0.000 0.500
Ir1 0.500 0.500 0.500
Cl1 0.000 0.000 0.000
```

Computed properties:
- spin magnetization (μB per cell) = 0.0
- D(E_F) (states/eV per atom) = 1.1185
- formation energy without anion corrections (eV/f.u.) = 4.358
- relative energy among the computed polymorphs (meV per atom) = 0
- total energy (eV/atom) = -8.3815